Density functional theory data (PBE-GGA) for a geometry-optimized Ba2NaCdCu structure.

abc: 6.2870 6.2870 5.1509
angles: 90.00 90.00 90.00
Last column: nearest neighbours and their distance in Å.
Atoms (fractional coordinates):
Ba1 0.0000 0.5000 0.0000  2 Cu 3.14
Ba2 0.5000 0.0000 0.0000  2 Cu 3.14
Na1 0.0000 0.0000 0.5000  8 Ba 4.06, 4 Cd 4.45
Cd1 0.5000 0.5000 0.5000  2 Cu 2.58
Cu1 0.5000 0.5000 0.0000  2 Cd 2.58

Computed properties:
- relative energy among the computed polymorphs (eV per atom) = 0.000
- density of states at the Fermi level (states/eV per cell) = 3.92
- calculated formation energy (eV per atom) = -0.04
- magnetic moment (μB per atom) = 0.0000